# NiPtCl2, optimized geometry, DFT PBE
# Energy relative to the lowest polymorph listed for this composition in meV per atom: 528
# Calculated total energy in eV/atom: -3.57
# DOS(E_F) in states/eV per cell: 9.37
# Formation energy without anion corrections in eV per atom: 0.309
data_NiPtCl2
_chemical_formula_sum 'Ni2 Pt2 Cl4'
_cell_length_a 3.015
_cell_length_b 6.114
_cell_length_c 7.653
_cell_angle_alpha 90.00
_cell_angle_beta 90.00
_cell_angle_gamma 90.00
_symmetry_space_group_name_H-M 'I m m m'
_symmetry_Int_Tables_number 71
_symmetry_space_group_name_Hall '-I 2 2'
loop_
_atom_site_label
_atom_site_type_symbol
_atom_site_fract_x
_atom_site_fract_y
_atom_site_fract_z
Ni1 Ni 0.000 0.000 0.000
Pt1 Pt 0.000 0.000 0.500
Cl1 Cl 0.000 0.500 0.276